Record 1
## Ca2La6Mg (GGA-PBE)

Data for an optimized crystal structure of Ca2La6Mg.

```
Ca2La6Mg
1.0
4.6307 -5.1788 0.0000
4.6307 5.1788 0.0000
-1.0318 0.0000 6.6932
Ca La Mg
2 6 1
Direct
0.1692 0.8308 0.0000
0.8308 0.1692 0.0000
0.1739 0.4956 0.3669
0.3431 0.3431 0.8565
0.4956 0.1739 0.3669
0.5044 0.8261 0.6331
0.6569 0.6569 0.1435
0.8261 0.5044 0.6331
0.0000 0.0000 0.5000
```

- Symmetry: C2/m (12)
- Energy relative to the elements: 0.075 eV/atom
- V: 35.669 A^3/atom

Record 2
## CaLa3Mg (GGA-PBE)

Data for an optimized crystal structure of CaLa3Mg.

```
CaLa3Mg
1.0
5.9975 0.0000 0.0000
0.0000 5.9975 0.0000
0.0000 0.0000 5.9975
Ca La Mg
1 3 1
Direct
0.0000 0.0000 0.0000
0.0000 0.5000 0.5000
0.5000 0.0000 0.5000
0.5000 0.5000 0.0000
0.5000 0.5000 0.5000
```

- Symmetry: Pm-3m (221)
- Energy relative to the elements: 0.445 eV/atom
- Energy relative to the lowest polymorph listed for this composition: 447.9 meV per atom
- V: 43.147 A^3/atom

Record 3
## Ca2LaMg2 (GGA-PBE)

Data for an optimized crystal structure of Ca2LaMg2.

```
Ca2LaMg2
1.0
9.0154 0.0000 0.0000
0.0000 9.0154 0.0000
0.0000 0.0000 4.1974
Ca La Mg
4 2 4
Direct
0.1724 0.3276 0.0000
0.3276 0.8276 0.0000
0.6724 0.1724 0.0000
0.8276 0.6724 0.0000
0.0000 0.0000 0.5000
0.5000 0.5000 0.5000
0.1243 0.6243 0.5000
0.3757 0.1243 0.5000
0.6243 0.8757 0.5000
0.8757 0.3757 0.5000
```

- Symmetry: P4/mbm (127)
- Energy relative to the elements: 0.029 eV/atom
- Energy relative to the lowest polymorph listed for this composition: 64.9 meV per atom
- V: 34.115 A^3/atom

Number 1: total moment 0.0 μB/f.u.. Number 2: total moment 0.0 μB/f.u.. Number 3: total moment 0.0 μB/f.u..